No. 1
A plane-wave DFT calculation with PBE was carried out for a relaxed structure of Al2TcSb.

Symmetry: F-43m, No. 216
E_form (uncorrected) in meV per atom: 243
N(E_F) in states/eV/cell: 7.94
Volume in Å³/atom: 17.132
Total magnetization in μB/f.u.: 0.00

abc: 6.4960 6.4960 6.4960
angles: 90.00 90.00 90.00
Closest atoms and distances in Å follow each position.
Element x y z (fractional)
Al: 0.0000 0.0000 0.0000  4 Sb 2.81, 4 Al 2.81
Al: 0.0000 0.5000 0.5000  4 Sb 2.81, 4 Al 2.81
Al: 0.2500 0.2500 0.2500  4 Tc 2.81, 4 Al 2.81
Al: 0.2500 0.7500 0.7500  4 Tc 2.81, 4 Al 2.81
Al: 0.5000 0.0000 0.5000  4 Sb 2.81, 4 Al 2.81
Al: 0.5000 0.5000 0.0000  4 Sb 2.81, 4 Al 2.81
Al: 0.7500 0.2500 0.7500  4 Tc 2.81, 4 Al 2.81
Al: 0.7500 0.7500 0.2500  4 Tc 2.81, 4 Al 2.81
Tc: 0.0000 0.0000 0.5000  4 Al 2.81, 4 Sb 2.81
Tc: 0.0000 0.5000 0.0000  4 Al 2.81, 4 Sb 2.81
Tc: 0.5000 0.0000 0.0000  4 Al 2.81, 4 Sb 2.81
Tc: 0.5000 0.5000 0.5000  4 Al 2.81, 4 Sb 2.81
Sb: 0.2500 0.2500 0.7500  4 Tc 2.81, 4 Al 2.81
Sb: 0.2500 0.7500 0.2500  4 Tc 2.81, 4 Al 2.81
Sb: 0.7500 0.2500 0.2500  4 Tc 2.81, 4 Al 2.81
Sb: 0.7500 0.7500 0.7500  4 Tc 2.81, 4 Al 2.81


No. 2
A plane-wave DFT calculation with PBE was carried out for a relaxed structure of AlTc3Sb.

Symmetry: Pm-3m, No. 221
E_form (uncorrected) in meV per atom: 1730
N(E_F) in states/eV/cell: 3.06
Volume in Å³/atom: 22.307
Total magnetization in μB/f.u.: 2.44

abc: 4.8136 4.8136 4.8136
angles: 90.00 90.00 90.00
Closest atoms and distances in Å follow each position.
Element x y z (fractional)
Al: 0.0000 0.0000 0.0000  12 Tc 3.40
Tc: 0.0000 0.5000 0.5000  2 Sb 2.41
Tc: 0.5000 0.0000 0.5000  2 Sb 2.41
Tc: 0.5000 0.5000 0.0000  2 Sb 2.41
Sb: 0.5000 0.5000 0.5000  6 Tc 2.41


No. 3
A plane-wave DFT calculation with PBE was carried out for a relaxed structure of Al2TcSb2.

Symmetry: I4/mmm, No. 139
E_form (uncorrected) in meV per atom: 379
N(E_F) in states/eV/cell: 7.13
Volume in Å³/atom: 20.998
Total magnetization in μB/f.u.: 0.00

abc: 3.4812 3.4812 17.3265
angles: 90.00 90.00 90.00
Closest atoms and distances in Å follow each position.
Element x y z (fractional)
Al: 0.0000 0.5000 0.2500  4 Al 2.46
Al: 0.0000 0.5000 0.7500  4 Al 2.46
Al: 0.5000 0.0000 0.2500  4 Al 2.46
Al: 0.5000 0.0000 0.7500  4 Al 2.46
Tc: 0.0000 0.0000 0.0000  8 Sb 2.92
Tc: 0.5000 0.5000 0.5000  8 Sb 2.92
Sb: 0.0000 0.0000 0.4089  4 Tc 2.92, 1 Sb 3.16, 4 Al 3.26
Sb: 0.0000 0.0000 0.5911  4 Tc 2.92, 1 Sb 3.16, 4 Al 3.26
Sb: 0.5000 0.5000 0.0911  4 Tc 2.92, 1 Sb 3.16, 4 Al 3.26
Sb: 0.5000 0.5000 0.9089  4 Tc 2.92, 1 Sb 3.16, 4 Al 3.26


No. 4
A plane-wave DFT calculation with PBE was carried out for a relaxed structure of Al2TcSb.

Symmetry: P2/m, No. 10
E_form (uncorrected) in meV per atom: 171
N(E_F) in states/eV/cell: 1.89
Volume in Å³/atom: 18.284
Total magnetization in μB/f.u.: 0.00

abc: 3.2881 4.4922 5.2067
angles: 90.00 108.02 90.00
Closest atoms and distances in Å follow each position.
Element x y z (fractional)
Al: 0.1523 0.0000 0.2785  2 Tc 2.62, 3 Al 2.70-2.78
Al: 0.8477 0.0000 0.7215  2 Tc 2.62, 3 Al 2.70-2.78
Tc: 0.5000 0.5000 0.5000  2 Sb 2.60, 4 Al 2.62
Sb: 0.5000 0.5000 0.0000  2 Tc 2.60


No. 5
A plane-wave DFT calculation with PBE was carried out for a relaxed structure of Al4TcSb.

Symmetry: F-43m, No. 216
E_form (uncorrected) in meV per atom: 190
N(E_F) in states/eV/cell: 3.58
Volume in Å³/atom: 16.951
Total magnetization in μB/f.u.: 0.00

abc: 5.2394 5.2394 5.2394
angles: 60.00 60.00 60.00
Closest atoms and distances in Å follow each position.
Element x y z (fractional)
Al: 0.3762 0.3762 0.3762  6 Al 2.59-2.65
Al: 0.3762 0.3762 0.8714  6 Al 2.59-2.65
Al: 0.3762 0.8714 0.3762  6 Al 2.59-2.65
Al: 0.8714 0.3762 0.3762  6 Al 2.59-2.65
Tc: 0.7500 0.7500 0.7500  12 Al 3.07, 4 Sb 3.21
Sb: 0.0000 0.0000 0.0000  12 Al 3.07, 4 Tc 3.21


No. 6
A plane-wave DFT calculation with PBE was carried out for a relaxed structure of Al2TcSb.

Symmetry: I4/mmm, No. 139
E_form (uncorrected) in meV per atom: 136
N(E_F) in states/eV/cell: 4.84
Volume in Å³/atom: 16.733
Total magnetization in μB/f.u.: 0.00

abc: 3.9955 3.9955 8.3853
angles: 90.00 90.00 90.00
Closest atoms and distances in Å follow each position.
Element x y z (fractional)
Al: 0.0000 0.5000 0.2500  4 Al 2.83, 4 Tc 2.90, 4 Sb 2.90
Al: 0.0000 0.5000 0.7500  4 Al 2.83, 4 Sb 2.90, 4 Tc 2.90
Al: 0.5000 0.0000 0.2500  4 Al 2.83, 4 Tc 2.90, 4 Sb 2.90
Al: 0.5000 0.0000 0.7500  4 Al 2.83, 4 Sb 2.90, 4 Tc 2.90
Tc: 0.0000 0.0000 0.0000  4 Sb 2.83, 8 Al 2.90
Tc: 0.5000 0.5000 0.5000  4 Sb 2.83, 8 Al 2.90
Sb: 0.0000 0.0000 0.5000  4 Tc 2.83, 8 Al 2.90
Sb: 0.5000 0.5000 0.0000  4 Tc 2.83, 8 Al 2.90


No. 7
A plane-wave DFT calculation with PBE was carried out for a relaxed structure of Al2TcSb.

Symmetry: P4/mmm, No. 123
E_form (uncorrected) in meV per atom: 229
N(E_F) in states/eV/cell: 2.45
Volume in Å³/atom: 16.999
Total magnetization in μB/f.u.: 0.00

abc: 3.9987 3.9987 4.2526
angles: 90.00 90.00 90.00
Closest atoms and distances in Å follow each position.
Element x y z (fractional)
Al: 0.0000 0.5000 0.0000  4 Al 2.83, 4 Tc 2.92, 4 Sb 2.92
Al: 0.5000 0.0000 0.0000  4 Al 2.83, 4 Tc 2.92, 4 Sb 2.92
Tc: 0.0000 0.0000 0.5000  4 Sb 2.83, 8 Al 2.92
Sb: 0.5000 0.5000 0.5000  4 Tc 2.83, 8 Al 2.92


No. 8
A plane-wave DFT calculation with PBE was carried out for a relaxed structure of Al2TcSb.

Symmetry: P4/mmm, No. 123
E_form (uncorrected) in meV per atom: -63
N(E_F) in states/eV/cell: 1.63
Volume in Å³/atom: 17.179
Total magnetization in μB/f.u.: 0.00

abc: 3.3321 3.3321 6.1890
angles: 90.00 90.00 90.00
Closest atoms and distances in Å follow each position.
Element x y z (fractional)
Al: 0.0000 0.0000 0.2058  1 Al 2.55, 4 Tc 2.68
Al: 0.0000 0.0000 0.7942  1 Al 2.55, 4 Tc 2.68
Tc: 0.5000 0.5000 0.0000  8 Al 2.68
Sb: 0.5000 0.5000 0.5000  8 Al 2.98, 2 Tc 3.09, 4 Sb 3.33


No. 9
A plane-wave DFT calculation with PBE was carried out for a relaxed structure of Al2TcSb.

Symmetry: Cm, No. 8
E_form (uncorrected) in meV per atom: -56
Volume in Å³/atom: 21.434
Total magnetization in μB/f.u.: 0.00

abc: 8.6604 3.2893 6.0352
angles: 90.00 94.16 90.00
Closest atoms and distances in Å follow each position.
Element x y z (fractional)
Al: 0.0000 0.0000 0.0000  2 Tc 2.52, 1 Sb 2.70, 3 Al 2.71-2.80
Al: 0.2106 0.5000 0.7966  3 Tc 2.54-2.55, 3 Al 2.71-2.80
Al: 0.5000 0.5000 0.0000  2 Tc 2.52, 1 Sb 2.70, 3 Al 2.71-2.80
Al: 0.7106 0.0000 0.7966  3 Tc 2.54-2.55, 3 Al 2.71-2.80
Tc: 0.4202 0.0000 0.6978  5 Al 2.52-2.55, 2 Sb 2.79
Tc: 0.9202 0.5000 0.6978  5 Al 2.52-2.55, 2 Sb 2.79
Sb: 0.0940 0.0000 0.4369  3 Al 2.70-2.85, 2 Tc 2.79
Sb: 0.5940 0.5000 0.4369  3 Al 2.70-2.85, 2 Tc 2.79


No. 10
A plane-wave DFT calculation with PBE was carried out for a relaxed structure of Al2TcSb.

Symmetry: C2/m, No. 12
E_form (uncorrected) in meV per atom: 74
N(E_F) in states/eV/cell: 6.34
Volume in Å³/atom: 17.354
Total magnetization in μB/f.u.: 0.00

abc: 9.0818 3.3076 4.7045
angles: 90.00 100.76 90.00
Closest atoms and distances in Å follow each position.
Element x y z (fractional)
Al: 0.2347 0.0000 0.2109  2 Al 2.64, 3 Tc 2.73-2.77, 1 Sb 2.73
Al: 0.2653 0.5000 0.7891  2 Al 2.64, 3 Tc 2.73-2.77, 1 Sb 2.73
Al: 0.7347 0.5000 0.2109  2 Al 2.64, 3 Tc 2.73-2.77, 1 Sb 2.73
Al: 0.7653 0.0000 0.7891  2 Al 2.64, 3 Tc 2.73-2.77, 1 Sb 2.73
Tc: 0.0000 0.5000 0.0000  6 Al 2.73-2.77, 4 Sb 2.88
Tc: 0.5000 0.0000 0.0000  6 Al 2.73-2.77, 4 Sb 2.88
Sb: 0.0000 0.0000 0.5000  6 Al 2.73-3.03, 4 Tc 2.88
Sb: 0.5000 0.5000 0.5000  6 Al 2.73-3.03, 4 Tc 2.88


No. 11
A plane-wave DFT calculation with PBE was carried out for a relaxed structure of AlTcSb2Te.

Symmetry: P4/mmm, No. 123
E_form (uncorrected) in meV per atom: 1133
N(E_F) in states/eV/cell: 4.72
Volume in Å³/atom: 28.667
Total magnetization in μB/f.u.: 3.41

abc: 5.2075 5.2075 5.2855
angles: 90.00 90.00 90.00
Closest atoms and distances in Å follow each position.
Element x y z (fractional)
Al: 0.0000 0.0000 0.0000  4 Sb 2.60, 2 Te 2.64
Tc: 0.5000 0.5000 0.5000  4 Te 3.68, 8 Sb 3.71
Sb: 0.0000 0.5000 0.0000  2 Al 2.60
Sb: 0.5000 0.0000 0.0000  2 Al 2.60
Te: 0.0000 0.0000 0.5000  2 Al 2.64


No. 12
A plane-wave DFT calculation with PBE was carried out for a relaxed structure of AlTcSb2Te.

Symmetry: P4/mmm, No. 123
E_form (uncorrected) in meV per atom: 583
N(E_F) in states/eV/cell: 5.18
Volume in Å³/atom: 29.246
Total magnetization in μB/f.u.: 0.00

abc: 5.0254 5.0254 5.7902
angles: 90.00 90.00 90.00
Closest atoms and distances in Å follow each position.
Element x y z (fractional)
Al: 0.0000 0.0000 0.0000  4 Te 3.55, 8 Sb 3.83
Tc: 0.5000 0.5000 0.5000  4 Sb 2.51
Sb: 0.0000 0.5000 0.5000  2 Tc 2.51
Sb: 0.5000 0.0000 0.5000  2 Tc 2.51
Te: 0.5000 0.5000 0.0000  2 Tc 2.90


No. 13
A plane-wave DFT calculation with PBE was carried out for a relaxed structure of Al2Sb2Te.

Symmetry: I4/mmm, No. 139
E_form (uncorrected) in meV per atom: 190
N(E_F) in states/eV/cell: 5.96
Volume in Å³/atom: 25.894
Total magnetization in μB/f.u.: 0.00

abc: 4.8003 4.8003 11.2373
angles: 90.00 90.00 90.00
Closest atoms and distances in Å follow each position.
Element x y z (fractional)
Al: 0.0000 0.0000 0.1113  1 Al 2.50
Al: 0.0000 0.0000 0.8887  1 Al 2.50
Al: 0.5000 0.5000 0.3887  1 Al 2.50
Al: 0.5000 0.5000 0.6113  1 Al 2.50
Sb: 0.0000 0.5000 0.2500  4 Al 2.86
Sb: 0.0000 0.5000 0.7500  4 Al 2.86
Sb: 0.5000 0.0000 0.2500  4 Al 2.86
Sb: 0.5000 0.0000 0.7500  4 Al 2.86
Te: 0.0000 0.0000 0.5000  8 Al 3.62, 8 Sb 3.69
Te: 0.5000 0.5000 0.0000  8 Al 3.62, 8 Sb 3.69


No. 14
A plane-wave DFT calculation with PBE was carried out for a relaxed structure of AlSbTe3.

Symmetry: P2_1/m, No. 11
E_form (uncorrected) in meV per atom: -201
N(E_F) in states/eV/cell: 1.35
Volume in Å³/atom: 37.767
Total magnetization in μB/f.u.: 0.00

abc: 8.3331 4.1091 11.0485
angles: 90.00 93.34 90.00
Closest atoms and distances in Å follow each position.
Element x y z (fractional)
Al: 0.0408 0.2500 0.3826  4 Te 2.57-2.70
Al: 0.9592 0.7500 0.6174  4 Te 2.57-2.70
Sb: 0.2860 0.2500 0.9321  5 Te 2.97-3.21
Sb: 0.7140 0.7500 0.0679  5 Te 2.97-3.21
Te: 0.0039 0.7500 0.8499  1 Al 2.57
Te: 0.2155 0.7500 0.4786  3 Al 2.70
Te: 0.4952 0.7500 0.8285  3 Sb 2.97-3.12
Te: 0.5048 0.2500 0.1715  3 Sb 2.97-3.12
Te: 0.7845 0.2500 0.5214  3 Al 2.70
Te: 0.9961 0.2500 0.1501  1 Al 2.57